Record 1
# NdSb2

A geometry-optimized NdSb2 structure (PBE, Alexandria via LeMat-Bulk).

Calculated values
The symmetry is Cmce. The calculation puts the total magnetization at 0.00 μB per cell. The calculation puts the calculated volume at 356.8 Å³ per cell. As for the uncorrected formation energy: -0.8001 eV per atom. The value obtained for the total energy is -5.138 eV per atom.

Unit cell a=4.4180 b=4.4180 c=18.2858 alpha=90.00 beta=90.00 gamma=91.45
Fractional coordinates of all 12 atoms:
Sb 0.6237 0.1237 0.2500
Sb 0.3650 0.3650 0.5638
Sb 0.1350 0.1350 0.0638
Sb 0.6350 0.6350 0.4362
Sb 0.8763 0.3763 0.7500
Sb 0.1237 0.6237 0.2500
Sb 0.3763 0.8763 0.7500
Sb 0.8650 0.8650 0.9362
Nd 0.1384 0.1384 0.3891
Nd 0.3616 0.3616 0.8891
Nd 0.6384 0.6384 0.1109
Nd 0.8616 0.8616 0.6109

Record 2
# Nd4Sb

A geometry-optimized Nd4Sb structure (PBE, Alexandria via LeMat-Bulk).

Calculated values
The symmetry is Pm-3m. The calculation puts the total magnetization at 0.04 μB per cell. The calculation puts the calculated volume at 210.2 Å³ per cell. As for the uncorrected formation energy: 0.0237 eV per atom. The value obtained for the total energy is -4.615 eV per atom.

Unit cell a=5.9456 b=5.9456 c=5.9456 alpha=90.00 beta=90.00 gamma=90.00
Fractional coordinates of all 5 atoms:
Nd 0.0000 0.5000 0.5000
Nd 0.5000 0.5000 0.0000
Nd 0.0000 0.0000 0.0000
Nd 0.5000 0.0000 0.5000
Sb 0.5000 0.5000 0.5000

Record 3
# Nd5Sb2

A geometry-optimized Nd5Sb2 structure (PBE, Alexandria via LeMat-Bulk).

Calculated values
The symmetry is C2/c. The calculation puts the total magnetization at 1.48 μB per cell. The calculation puts the calculated volume at 457.5 Å³ per cell. As for the uncorrected formation energy: -0.6495 eV per atom. The value obtained for the total energy is -5.233 eV per atom.

Unit cell a=6.4152 b=8.6045 c=8.9311 alpha=95.71 beta=111.05 gamma=90.00
Fractional coordinates of all 14 atoms:
Nd 0.6522 0.2500 0.0000
Nd 0.3403 0.1742 0.5379
Nd 0.0494 0.0720 0.8166
Nd 0.8024 0.3258 0.4621
Nd 0.1976 0.6742 0.5379
Nd 0.6597 0.8258 0.4621
Nd 0.9506 0.9280 0.1834
Nd 0.3478 0.7500 0.0000
Nd 0.7672 0.5720 0.8166
Nd 0.2328 0.4280 0.1834
Sb 0.2240 0.4204 0.7934
Sb 0.5694 0.9204 0.7934
Sb 0.4306 0.0796 0.2066
Sb 0.7760 0.5796 0.2066

Record 4
# Nd5Sb3

A geometry-optimized Nd5Sb3 structure (PBE, Alexandria via LeMat-Bulk).

Calculated values
The symmetry is P6_3/mcm. The calculation puts the total magnetization at 1.17 μB per cell. The calculation puts the calculated volume at 493.6 Å³ per cell. As for the uncorrected formation energy: -0.9698 eV per atom. The value obtained for the total energy is -5.496 eV per atom.

Unit cell a=6.5264 b=9.3451 c=9.3451 alpha=120.00 beta=90.00 gamma=90.00
Fractional coordinates of all 16 atoms:
Sb 0.7500 0.6136 0.0000
Sb 0.7500 0.0000 0.6136
Sb 0.2500 0.3864 0.0000
Sb 0.2500 0.0000 0.3864
Sb 0.7500 0.3864 0.3864
Sb 0.2500 0.6136 0.6136
Nd 0.5000 0.3333 0.6667
Nd 0.7500 0.2500 0.0000
Nd 0.2500 0.0000 0.7500
Nd 0.2500 0.7500 0.0000
Nd 0.7500 0.7500 0.7500
Nd 0.5000 0.6667 0.3333
Nd 0.0000 0.6667 0.3333
Nd 0.0000 0.3333 0.6667
Nd 0.2500 0.2500 0.2500
Nd 0.7500 0.0000 0.2500

Record 5
# Nd2Sb

A geometry-optimized Nd2Sb structure (PBE, Alexandria via LeMat-Bulk).

Calculated values
The symmetry is I4/mmm. The calculation puts the total magnetization at 0.00 μB per cell. The calculation puts the calculated volume at 186.2 Å³ per cell. As for the uncorrected formation energy: -0.8500 eV per atom. The value obtained for the total energy is -5.403 eV per atom.

Unit cell a=9.4668 b=9.4668 c=9.4668 alpha=152.03 beta=152.03 gamma=39.96
Fractional coordinates of all 6 atoms:
Nd 0.5000 0.0000 0.5000
Nd 0.8209 0.8209 0.0000
Nd 0.1791 0.1791 0.0000
Nd 0.0000 0.5000 0.5000
Sb 0.6385 0.6385 0.0000
Sb 0.3615 0.3615 0.0000

Record 6
# Nd2Sb

A geometry-optimized Nd2Sb structure (PBE, Alexandria via LeMat-Bulk).

Calculated values
The symmetry is I4/mmm. The calculation puts the total magnetization at 0.00 μB per cell. The calculation puts the calculated volume at 89.2 Å³ per cell. As for the uncorrected formation energy: -0.6881 eV per atom. The value obtained for the total energy is -5.241 eV per atom.

Unit cell a=4.1850 b=4.1850 c=5.8878 alpha=110.78 beta=110.78 gamma=90.03
Fractional coordinates of all 3 atoms:
Sb 0.5000 0.5000 0.0000
Nd 0.1529 0.1529 0.3059
Nd 0.8471 0.8471 0.6941